No. 1
Here is a geometry-optimized HoEr2Au structure from Alexandria. Energies are from GGA-PBE.

Calculated values
- final energy (eV/atom) = -4.658
- total magnetic moment (μB per cell) = 0.00
- energy above the lowest structure with this stoichiometry (eV per atom) = 0.0460

a b c (Å): 4.874 11.744 7.804
angles (deg): 90.00 90.00 90.00
Space group Cmcm (No. 63)
Inequivalent atoms, fractional coordinates:
Ho  0.000  0.043  0.250 (multiplicity 4)
Er  0.000  0.356  0.037 (multiplicity 8)
Au  0.000  0.205  0.750 (multiplicity 4)



No. 2
Here is a geometry-optimized SrPm2Tm structure from Alexandria. Energies are from GGA-PBE.

Calculated values
- final energy (eV/atom) = -3.805
- total magnetic moment (μB per cell) = 0.00
- energy above the lowest structure with this stoichiometry (eV per atom) = 0.0000

a b c (Å): 3.7047 3.7047 36.8874
angles (deg): 90.00 90.00 120.00
Space group R3m (No. 160, hexagonal axes)
Inequivalent atoms, fractional coordinates:
Sr  0.0000  0.0000  0.0000 (multiplicity 3)
Pm  0.0000  0.0000  0.5761 (multiplicity 3)
Pm  0.0000  0.0000  0.7572 (multiplicity 3)
Tm  0.0000  0.0000  0.1664 (multiplicity 3)



No. 3
Here is a geometry-optimized PaMnAu structure from Alexandria. Energies are from GGA-PBE.

Calculated values
- final energy (eV/atom) = -7.235
- total magnetic moment (μB per cell) = 0.00
- energy above the lowest structure with this stoichiometry (eV per atom) = 0.2895

a b c (Å): 4.1839 4.1839 23.3006
angles (deg): 90.00 90.00 120.00
Space group R-3m (No. 166, hexagonal axes)
Inequivalent atoms, fractional coordinates:
Pa  0.0000  0.0000  0.2208 (multiplicity 6)
Mn  0.0000  0.0000  0.0934 (multiplicity 6)
Au  0.0000  0.0000  0.3636 (multiplicity 6)



- The highest energy above the lowest structure with this stoichiometry belongs to which entry?
  PaMnAu